A plane-wave DFT calculation with GGA+U was carried out for a relaxed structure of Li4Mn3O7.

Lattice parameters (Å, degrees): 6.907 6.907 14.761 65.78 65.78 24.08
Element x y z (fractional)
Li (0.712, 0.712, 0.931)
Li (0.288, 0.288, 0.069)
Li (0.866, 0.866, 0.209)
Li (0.134, 0.134, 0.791)
Li (0.574, 0.574, 0.643)
Li (0.426, 0.426, 0.357)
Li (0.000, 0.000, 0.500)
Li (0.000, 0.000, 0.000)
Mn (0.437, 0.437, 0.863)
Mn (0.563, 0.563, 0.137)
Mn (0.140, 0.140, 0.281)
Mn (0.713, 0.713, 0.427)
Mn (0.287, 0.287, 0.573)
Mn (0.860, 0.860, 0.719)
O (0.864, 0.864, 0.955)
O (0.442, 0.442, 0.111)
O (0.004, 0.004, 0.236)
O (0.302, 0.302, 0.819)
O (0.720, 0.720, 0.669)
O (0.574, 0.574, 0.379)
O (0.145, 0.145, 0.525)
O (0.558, 0.558, 0.889)
O (0.136, 0.136, 0.045)
O (0.698, 0.698, 0.181)
O (0.996, 0.996, 0.764)
O (0.426, 0.426, 0.621)
O (0.280, 0.280, 0.331)
O (0.855, 0.855, 0.475)

E above lowest polymorph = 22 meV/atom
Space-group type = C2/m, No. 12